Entry 1:
{
  "formula": "Tl5RhSe4",
  "functional": "PBE",
  "state": "optimized geometry",
  "e_form_raw_ev_per_atom": -0.302,
  "dos_ef_per_ev_atom": 0.1513,
  "cell": [[-0.1718, 3.1836, 2.5770], [-7.9263, 0.2454, -0.8316], [1.9495, -7.1125, 5.6561]],
  "species": ["Se", "Se", "Se", "Se", "Tl", "Tl", "Tl", "Tl", "Tl", "Rh"],
  "fractional_positions": [[0.3558, 0.9705, 0.7116], [0.9803, 0.7914, 0.9607], [0.0197, 0.2086, 0.0393], [0.6442, 0.0295, 0.2884], [0.5000, 0.5000, 0.0000], [0.8400, 0.2236, 0.6799], [0.8070, 0.6734, 0.6139], [0.1600, 0.7764, 0.3201], [0.1930, 0.3266, 0.3861], [0.5000, 0.0000, 0.0000]]
}


Entry 2:
{
  "formula": "TlRhSe",
  "functional": "PBE",
  "state": "optimized geometry",
  "e_form_raw_ev_per_atom": -0.029,
  "dos_ef_per_ev_atom": 1.1748,
  "cell": [[-1.7449, 3.7255, 0.4829], [-1.6108, -3.3045, 1.9085], [2.9834, 0.8746, 4.0324]],
  "species": ["Rh", "Tl", "Se"],
  "fractional_positions": [[0.0000, 0.0000, 0.1666], [0.3333, 0.6667, 0.6671], [0.6667, 0.3333, 0.1663]]
}


Entry 3:
{
  "formula": "TlRhSe2",
  "functional": "PBE",
  "state": "optimized geometry",
  "e_form_raw_ev_per_atom": 0.408,
  "dos_ef_per_ev_atom": 0.8768,
  "cell": [[5.3371, 0.0443, 0.0000], [1.8428, 5.0091, 0.0000], [-3.5900, -2.5267, 3.0357]],
  "species": ["Se", "Se", "Tl", "Rh"],
  "fractional_positions": [[0.2500, 0.7500, 0.5000], [0.0000, 0.0000, 0.0000], [0.5000, 0.5000, 0.0000], [0.7500, 0.2500, 0.5000]]
}


Entry 4:
{
  "formula": "Tl2RhSe",
  "functional": "PBE",
  "state": "optimized geometry",
  "e_above_lowest_polymorph_ev_per_atom": 0.375,
  "e_form_raw_ev_per_atom": 0.266,
  "dos_ef_per_ev_atom": 0.8875,
  "cell": [[5.2542, -0.1091, 0.0000], [1.2637, 5.1011, 0.0000], [-3.2589, -2.4960, 3.2814]],
  "species": ["Tl", "Tl", "Rh", "Se"],
  "fractional_positions": [[0.2500, 0.7500, 0.5000], [0.0000, 0.0000, 0.0000], [0.5000, 0.5000, 0.0000], [0.7500, 0.2500, 0.5000]]
}


Entry 5:
{
  "formula": "Tl2RhSe",
  "functional": "PBE",
  "state": "optimized geometry",
  "e_above_lowest_polymorph_ev_per_atom": 0.219,
  "e_form_raw_ev_per_atom": 0.110,
  "dos_ef_per_ev_atom": 0.7295,
  "cell": [[-0.3586, 4.4216, -6.1014], [-4.0485, 3.8053, -5.1025], [-1.9712, 6.5080, -3.2659]],
  "species": ["Se", "Tl", "Tl", "Rh"],
  "fractional_positions": [[0.7500, 0.7500, 0.7500], [0.9940, 0.9940, 0.9940], [0.5060, 0.5060, 0.5060], [0.2500, 0.2500, 0.2500]]
}


Entry 6:
{
  "formula": "Tl2RhSe",
  "functional": "PBE",
  "state": "optimized geometry",
  "e_above_lowest_polymorph_ev_per_atom": 0.302,
  "e_form_raw_ev_per_atom": 0.193,
  "dos_ef_per_ev_atom": 0.7462,
  "cell": [[-1.3517, -3.1351, 1.5457], [2.7877, -2.0494, -1.7189], [5.3604, -0.3978, 3.8806]],
  "species": ["Tl", "Tl", "Se", "Rh"],
  "fractional_positions": [[0.0000, 0.0096, 0.0131], [0.0000, 0.4904, 0.4869], [0.5000, 0.7500, 0.7500], [0.5000, 0.2500, 0.2500]]
}